Here is crystalline TlInSe2 at its relaxed geometry from Alexandria. Energies are from PBE.

## Properties
The value obtained for the total magnetization is 0.00 μB per formula unit. As for the formation energy from raw total energies: -0.484 eV/atom. The value obtained for the density of states at the Fermi level is 0.1 states/eV/cell. The value obtained for the volume is 32.33 Å³/atom.

Lattice parameters (Å, degrees): 4.2196 4.1502 7.6714 74.29 90.00 90.00
Last column: nearest neighbours and their distance in Å.
Element x y z (fractional)
Se 0.5000 0.1948 0.2347  2 In 2.67
Se 0.0000 0.9148 0.7960  2 In 2.63
Tl 0.0000 0.5821 0.4613  6 Se 3.23-3.40
In 0.5000 0.8083 0.0080  4 Se 2.63-2.67